# 1
DFT (GGA-PBE) results for crystalline ThSb2Se6 at its relaxed geometry.

a = 4.9245 Å, b = 7.0819 Å, c = 8.8196 Å
α = 76.43°, β = 73.79°, γ = 69.65°
Fractional coordinates of all 9 atoms:
Th: 0.0000 0.5000 0.5000
Sb: 0.1910 0.8217 0.7963
Sb: 0.8090 0.1783 0.2037
Se: 0.7571 0.6476 0.8383
Se: 0.2429 0.3524 0.1617
Se: 0.0126 0.7886 0.1861
Se: 0.3636 0.7768 0.4959
Se: 0.9874 0.2114 0.8139
Se: 0.6364 0.2232 0.5041

Computed properties:
Magnetization = 0.000 μB per cell
Theoretical density = 5.76 g/cm3
Uncorrected formation energy = -0.580 eV per atom
V = 30.41 Å³/atom


# 2
DFT (GGA-PBE) results for crystalline Th3SbSe3 at its relaxed geometry.

a = 9.0263 Å, b = 9.0263 Å, c = 7.8810 Å
α = 55.06°, β = 55.06°, γ = 60.00°
Fractional coordinates of all 14 atoms:
Th: 0.2900 0.5522 0.2357
Th: 0.9222 0.2900 0.2357
Th: 0.5522 0.9222 0.2357
Th: 0.4478 0.0778 0.7643
Th: 0.0778 0.7100 0.7643
Th: 0.7100 0.4478 0.7643
Sb: 0.3312 0.3312 0.0064
Sb: 0.6688 0.6688 0.9936
Se: 0.3718 0.8010 0.7351
Se: 0.8010 0.0921 0.7351
Se: 0.0921 0.3718 0.7351
Se: 0.9079 0.6282 0.2649
Se: 0.1990 0.9079 0.2649
Se: 0.6282 0.1990 0.2649

Computed properties:
Magnetization = 0.000 μB per cell
Theoretical density = 8.40 g/cm3
Uncorrected formation energy = -1.366 eV per atom
V = 29.80 Å³/atom


# 3
DFT (GGA-PBE) results for crystalline ThSbSe3 at its relaxed geometry.

a = 3.9793 Å, b = 7.4811 Å, c = 10.2008 Å
α = 86.00°, β = 101.26°, γ = 105.43°
Fractional coordinates of all 10 atoms:
Th: 0.4366 0.8413 0.2757
Th: 0.6072 0.3128 0.1459
Sb: 0.8980 0.3784 0.6620
Sb: 0.1461 0.7756 0.7595
Se: 0.1344 0.1482 0.3646
Se: 0.6235 0.8918 0.5976
Se: 0.4206 0.2623 0.8239
Se: 0.9096 0.0059 0.0570
Se: 0.1916 0.5737 0.0537
Se: 0.8523 0.5804 0.3679

Computed properties:
Magnetization = 0.000 μB per cell
Theoretical density = 6.83 g/cm3
Uncorrected formation energy = -1.011 eV per atom
V = 28.70 Å³/atom


# 4
DFT (GGA-PBE) results for crystalline Th3Sb2Se at its relaxed geometry.

a = 7.6479 Å, b = 7.6429 Å, c = 7.6195 Å
α = 80.36°, β = 70.44°, γ = 59.98°
Fractional coordinates of all 12 atoms:
Th: 0.4260 0.6542 0.7625
Th: 0.2733 0.0000 0.2267
Th: 0.5740 0.3458 0.2375
Th: 0.9198 0.6542 0.2375
Th: 0.0802 0.3458 0.7625
Th: 0.7267 0.0000 0.7733
Sb: 0.0000 0.0000 0.0000
Sb: 0.5000 0.0000 0.5000
Sb: 0.1587 0.6825 0.5000
Sb: 0.8413 0.3175 0.5000
Se: 0.6696 0.6608 0.0000
Se: 0.3304 0.3392 0.0000

Computed properties:
Magnetization = 0.000 μB per cell
Theoretical density = 9.31 g/cm3
Uncorrected formation energy = -1.106 eV per atom
V = 30.28 Å³/atom


# 5
DFT (GGA-PBE) results for crystalline Th3SbSe2 at its relaxed geometry.

a = 4.3586 Å, b = 6.1195 Å, c = 7.3988 Å
α = 114.43°, β = 107.13°, γ = 90.00°
Fractional coordinates of all 6 atoms:
Th: 0.8215 0.3215 0.1429
Th: 0.1785 0.6785 0.8571
Th: 0.5000 0.0000 0.5000
Sb: 0.5000 0.5000 0.5000
Se: 0.8393 0.8393 0.1786
Se: 0.1607 0.1607 0.8214

Computed properties:
Magnetization = 0.000 μB per cell
Theoretical density = 9.53 g/cm3
Uncorrected formation energy = -1.308 eV per atom
Polymorph energy (0 for the lowest one) = 0 meV per atom
V = 28.34 Å³/atom


# 6
DFT (GGA-PBE) results for crystalline Th2SbSe at its relaxed geometry.

a = 4.1350 Å, b = 4.1350 Å, c = 8.3494 Å
α = 75.66°, β = 75.66°, γ = 60.00°
Fractional coordinates of all 4 atoms:
Th: 0.0849 0.0849 0.7454
Th: 0.2488 0.2488 0.2537
Sb: 0.6669 0.6669 0.9994
Se: 0.4995 0.4995 0.5015

Computed properties:
Magnetization = 0.000 μB per cell
Theoretical density = 9.32 g/cm3
Uncorrected formation energy = -1.106 eV per atom
Polymorph energy (0 for the lowest one) = 117 meV per atom
V = 29.62 Å³/atom


# 7
DFT (GGA-PBE) results for crystalline Th4SbSe5 at its relaxed geometry.

a = 6.9597 Å, b = 9.3466 Å, c = 10.0384 Å
α = 90.00°, β = 90.00°, γ = 90.00°
Fractional coordinates of all 20 atoms:
Th: 0.9252 0.0000 0.7292
Th: 0.5164 0.7095 0.0000
Th: 0.5164 0.2905 0.0000
Th: 0.9252 0.0000 0.2708
Th: 0.0748 0.5000 0.2292
Th: 0.4836 0.7905 0.5000
Th: 0.4836 0.2095 0.5000
Th: 0.0748 0.5000 0.7708
Sb: 0.7228 0.0000 0.0000
Sb: 0.2772 0.5000 0.5000
Se: 0.2498 0.7885 0.7897
Se: 0.2498 0.2115 0.7897
Se: 0.8254 0.5000 0.0000
Se: 0.2498 0.7885 0.2103
Se: 0.2498 0.2115 0.2103
Se: 0.7502 0.7115 0.2897
Se: 0.7502 0.2885 0.2897
Se: 0.1746 0.0000 0.5000
Se: 0.7502 0.2885 0.7103
Se: 0.7502 0.7115 0.7103

Computed properties:
Magnetization = 2.000 μB per cell
Theoretical density = 7.35 g/cm3
Uncorrected formation energy = -1.282 eV per atom
V = 32.65 Å³/atom


# 8
DFT (GGA-PBE) results for crystalline Th2SbSe at its relaxed geometry.

a = 5.3274 Å, b = 5.3274 Å, c = 5.3274 Å
α = 60.00°, β = 60.00°, γ = 60.00°
Fractional coordinates of all 4 atoms:
Sb: 0.0000 0.0000 0.0000
Se: 0.5000 0.5000 0.5000
Th: 0.2500 0.2500 0.2500
Th: 0.7500 0.7500 0.7500

Computed properties:
Magnetization = 0.001 μB per cell
Theoretical density = 10.33 g/cm3
Uncorrected formation energy = -1.109 eV per atom
Polymorph energy (0 for the lowest one) = 113 meV per atom
V = 26.73 Å³/atom


# 9
DFT (GGA-PBE) results for crystalline Th2SbSe at its relaxed geometry.

a = 3.7626 Å, b = 3.7626 Å, c = 7.5264 Å
α = 90.00°, β = 90.00°, γ = 90.00°
Fractional coordinates of all 4 atoms:
Sb: 0.5000 0.5000 0.0000
Se: 0.5000 0.5000 0.5000
Th: 0.0000 0.0000 0.7482
Th: 0.0000 0.0000 0.2518

Computed properties:
Magnetization = 0.000 μB per cell
Theoretical density = 10.36 g/cm3
Uncorrected formation energy = -1.108 eV per atom
Polymorph energy (0 for the lowest one) = 115 meV per atom
V = 26.64 Å³/atom


# 10
DFT (GGA-PBE) results for crystalline ThSbSe at its relaxed geometry.

a = 7.1537 Å, b = 10.1925 Å, c = 8.6770 Å
α = 109.55°, β = 90.00°, γ = 110.54°
Fractional coordinates of all 18 atoms:
Se: 0.7291 0.0000 0.2500
Se: 0.2709 0.0000 0.7500
Se: 0.3928 0.3415 0.0641
Se: 0.0513 0.6585 0.4359
Se: 0.6072 0.6585 0.9359
Se: 0.9487 0.3415 0.5641
Sb: 0.8110 0.1682 0.8548
Sb: 0.6428 0.8318 0.6452
Sb: 0.1890 0.8318 0.1452
Sb: 0.3572 0.1682 0.3548
Sb: 0.0000 0.5000 0.0000
Sb: 0.5000 0.5000 0.5000
Th: 0.0000 0.0000 0.5000
Th: 0.0000 0.0000 0.0000
Th: 0.7728 0.3456 0.2624
Th: 0.4271 0.6544 0.2376
Th: 0.2272 0.6544 0.7376
Th: 0.5729 0.3456 0.7624

Computed properties:
Magnetization = 0.000 μB per cell
Theoretical density = 7.79 g/cm3
Uncorrected formation energy = -0.951 eV per atom
Polymorph energy (0 for the lowest one) = 306 meV per atom
V = 30.74 Å³/atom


# 11
DFT (GGA-PBE) results for crystalline ThSbSe4 at its relaxed geometry.

a = 7.1528 Å, b = 7.0084 Å, c = 6.9559 Å
α = 90.00°, β = 96.86°, γ = 90.00°
Fractional coordinates of all 12 atoms:
Th: 0.0000 0.0000 0.0000
Th: 0.5000 0.5000 0.0000
Sb: 0.5000 0.0000 0.5000
Sb: 0.0000 0.5000 0.5000
Se: 0.8232 0.7044 0.1986
Se: 0.6768 0.2044 0.8014
Se: 0.2546 0.2794 0.2854
Se: 0.2454 0.7794 0.7146
Se: 0.1768 0.2956 0.8014
Se: 0.3232 0.7956 0.1986
Se: 0.7454 0.7206 0.7146
Se: 0.7546 0.2206 0.2854

Computed properties:
Magnetization = 0.000 μB per cell
Theoretical density = 6.42 g/cm3
Uncorrected formation energy = -0.811 eV per atom
V = 28.85 Å³/atom


# 12
DFT (GGA-PBE) results for crystalline Th6Sb5Se at its relaxed geometry.

a = 7.7107 Å, b = 7.7286 Å, c = 7.7228 Å
α = 59.98°, β = 80.39°, γ = 70.52°
Fractional coordinates of all 12 atoms:
Sb: 0.5000 0.1759 0.6482
Sb: 0.0000 0.3361 0.3277
Sb: 0.5000 0.5000 0.0000
Sb: 0.0000 0.6639 0.6723
Sb: 0.5000 0.8241 0.3518
Se: 0.0000 0.0000 0.0000
Th: 0.7635 0.0772 0.3172
Th: 0.2365 0.6057 0.3172
Th: 0.2469 0.2328 0.0000
Th: 0.7531 0.7672 0.0000
Th: 0.7635 0.3943 0.6828
Th: 0.2365 0.9228 0.6828

Computed properties:
Magnetization = 0.000 μB per cell
Theoretical density = 9.19 g/cm3
Uncorrected formation energy = -1.003 eV per atom
V = 31.31 Å³/atom


Question: What is the V in the sixth record?
Answer: 29.62 Å³/atom


Please write out number 8 again, unchanged.
DFT (GGA-PBE) results for crystalline Th2SbSe at its relaxed geometry.

a = 5.3274 Å, b = 5.3274 Å, c = 5.3274 Å
α = 60.00°, β = 60.00°, γ = 60.00°
Fractional coordinates of all 4 atoms:
Sb: 0.0000 0.0000 0.0000
Se: 0.5000 0.5000 0.5000
Th: 0.2500 0.2500 0.2500
Th: 0.7500 0.7500 0.7500

Computed properties:
Magnetization = 0.001 μB per cell
Theoretical density = 10.33 g/cm3
Uncorrected formation energy = -1.109 eV per atom
Polymorph energy (0 for the lowest one) = 113 meV per atom
V = 26.73 Å³/atom